VASP calculation (PBE-GGA) on a relaxed NaNb2N crystal.

Its crystal system is tetragonal. The density of states at the Fermi level is 0.20 states/eV per atom. The energy relative to the elements, uncorrected is 260 meV/atom.

The structure belongs to space group I-42d (No. 122); the cell edges are 7.321, 7.321 and 4.865 Å and the angles 90.00°, 90.00° and 90.00°. The inequivalent atoms are Na at (0.000, 0.000, 0.000), Nb at (0.127, 0.250, 0.625) and N at (0.000, 0.000, 0.500).